Entry 1:
VASP calculation (PBE) on an optimized crystal structure of Ta2OsBr.

For the final energy, the calculation gives -8.653 eV/atom. As for the space group: No. 44. The value obtained for the energy above the most stable polymorph in this dataset is 357.5 meV per atom. For the density of states at the Fermi level, the calculation gives 3.4 states/eV per cell. Its total moment is 0.0 Bohr magnetons per cell.

The structure in POSCAR format:
```
Ta2OsBr
1.0
-1.5284 2.3307 4.8424
1.5284 -2.3307 4.8424
1.5284 2.3307 -4.8424
Ta Os Br
2 1 1
Direct
0.0000 0.0000 0.0000
0.7145 0.2145 0.5000
0.2335 0.7335 0.5000
0.4809 0.4809 0.0000
```

Entry 2:
VASP calculation (PBE) on an optimized crystal structure of KZr2SiN.

For the final energy, the calculation gives -4.883 eV/atom. As for the space group: No. 123. For the density of states at the Fermi level, the calculation gives 7.5 states/eV per cell. Its total moment is 0.0 Bohr magnetons per cell.

The structure in POSCAR format:
```
KZr2SiN
1.0
4.9829 0.0000 0.0000
0.0000 4.9829 0.0000
0.0000 0.0000 5.6608
K Zr Si N
1 2 1 1
Direct
0.0000 0.0000 0.0000
0.0000 0.5000 0.5000
0.5000 0.0000 0.5000
0.0000 0.0000 0.5000
0.5000 0.5000 0.0000
```